Entry 1:
Compound: TlSi3Pt3
Source: the Alexandria database
Functional: GGA-PBE
Structure: optimized geometry

The calculation puts the density of states at the Fermi level at 4.5 states/eV/cell. The energy comes out at -5.60 eV per atom. The uncorrected formation energy is -348 meV per atom.

```
data_TlSi3Pt3
_chemical_formula_sum 'Tl2 Si6 Pt6'
_cell_length_a 6.707
_cell_length_b 6.707
_cell_length_c 6.707
_cell_angle_alpha 90.00
_cell_angle_beta 90.00
_cell_angle_gamma 90.00
_space_group_name_H-M_alt 'P m -3 n'
_space_group_IT_number 223
_space_group_name_Hall '-P 4n 2 3'
loop_
_atom_site_label
_atom_site_type_symbol
_atom_site_fract_x
_atom_site_fract_y
_atom_site_fract_z
Tl1 Tl 0.000 0.000 0.000
Si1 Si 0.000 0.250 0.500
Pt1 Pt 0.000 0.500 0.250
```

---

Entry 2:
Compound: NaEuAs4
Source: the Alexandria database
Functional: GGA-PBE
Structure: optimized geometry

As for the energy of formation: -1.86 eV per formula unit. The calculation puts the density of states at the Fermi level at 25.0 states/eV/cell. The energy comes out at -5.34 eV per atom.

```
data_NaEuAs4
_chemical_formula_sum 'Na4 Eu4 As16'
_cell_length_a 8.189
_cell_length_b 8.189
_cell_length_c 8.189
_cell_angle_alpha 90.00
_cell_angle_beta 90.00
_cell_angle_gamma 90.00
_space_group_name_H-M_alt 'F -4 3 m'
_space_group_IT_number 216
_space_group_name_Hall 'F -4 2 3'
loop_
_atom_site_label
_atom_site_type_symbol
_atom_site_fract_x
_atom_site_fract_y
_atom_site_fract_z
Na1 Na 0.000 0.000 0.000
Eu1 Eu 0.250 0.250 0.250
As1 As 0.127 0.127 0.627
```